Model A:
The following is a PBE calculation of an optimized crystal structure of Zr2Co2Ir, from Alexandria.

Unit cell a=4.2647 b=4.9387 c=7.5973 alpha=90.00 beta=90.00 gamma=90.00
Last column: nearest neighbours and their distance in Å.
Fractional positions:
Zr: 0.0000 0.0000 0.2070  6 Co 2.59-2.88
Zr: 0.0000 0.0000 0.7930  6 Co 2.59-2.88
Zr: 0.5000 0.5000 0.2930  6 Co 2.59-2.88
Zr: 0.5000 0.5000 0.7070  6 Co 2.59-2.88
Co: 0.0000 0.2697 0.5000  1 Co 2.27, 2 Ir 2.51
Co: 0.0000 0.7303 0.5000  1 Co 2.27, 2 Ir 2.51
Co: 0.5000 0.2303 0.0000  1 Co 2.27, 2 Ir 2.51
Co: 0.5000 0.7697 0.0000  1 Co 2.27, 2 Ir 2.51
Ir: 0.0000 0.5000 0.0000  4 Co 2.51
Ir: 0.5000 0.0000 0.5000  4 Co 2.51

Values from the calculation:
Its crystal system is orthorhombic.

***

Model B:
The following is a PBE calculation of an optimized crystal structure of Zr2Co2Ir, from Alexandria.

Unit cell a=6.7095 b=6.7095 c=3.4977 alpha=90.00 beta=90.00 gamma=90.00
Last column: nearest neighbours and their distance in Å.
Fractional positions:
Zr: 0.1835 0.3165 0.0000  6 Co 2.56-2.72
Zr: 0.3165 0.8165 0.0000  6 Co 2.56-2.72
Zr: 0.6835 0.1835 0.0000  6 Co 2.56-2.72
Zr: 0.8165 0.6835 0.0000  6 Co 2.56-2.72
Co: 0.1192 0.6192 0.5000  1 Co 2.26
Co: 0.3808 0.1192 0.5000  1 Co 2.26
Co: 0.6192 0.8808 0.5000  1 Co 2.26
Co: 0.8808 0.3808 0.5000  1 Co 2.26
Ir: 0.0000 0.0000 0.5000  4 Co 2.68
Ir: 0.5000 0.5000 0.5000  4 Co 2.68

Values from the calculation:
Its crystal system is tetragonal.

***

Model C:
The following is a PBE calculation of an optimized crystal structure of Zr2Co2Ir, from Alexandria.

Unit cell a=3.2011 b=3.2011 c=16.2890 alpha=90.00 beta=90.00 gamma=90.00
Last column: nearest neighbours and their distance in Å.
Fractional positions:
Zr: 0.0000 0.0000 0.1093  4 Co 2.80, 4 Ir 2.88
Zr: 0.0000 0.0000 0.8907  4 Co 2.80, 4 Ir 2.88
Zr: 0.5000 0.5000 0.3907  4 Co 2.80, 4 Ir 2.88
Zr: 0.5000 0.5000 0.6093  4 Co 2.80, 4 Ir 2.88
Co: 0.0000 0.5000 0.2500  4 Co 2.26
Co: 0.0000 0.5000 0.7500  4 Co 2.26
Co: 0.5000 0.0000 0.2500  4 Co 2.26
Co: 0.5000 0.0000 0.7500  4 Co 2.26
Ir: 0.0000 0.0000 0.5000  8 Zr 2.88, 4 Ir 3.20
Ir: 0.5000 0.5000 0.0000  8 Zr 2.88, 4 Ir 3.20

Values from the calculation:
Its crystal system is tetragonal.

***

Model D:
The following is a PBE calculation of an optimized crystal structure of Zr2Co2Ir, from Alexandria.

Unit cell a=7.2484 b=7.2484 c=3.1138 alpha=90.00 beta=90.00 gamma=90.00
Last column: nearest neighbours and their distance in Å.
Fractional positions:
Zr: 0.1628 0.3372 0.0000  6 Co 2.61-2.66, 2 Ir 2.71
Zr: 0.3372 0.8372 0.0000  6 Co 2.61-2.66, 2 Ir 2.71
Zr: 0.6628 0.1628 0.0000  6 Co 2.61-2.66, 2 Ir 2.71
Zr: 0.8372 0.6628 0.0000  6 Co 2.61-2.66, 2 Ir 2.71
Co: 0.1332 0.6332 0.5000  6 Zr 2.61-2.66, 1 Co 2.73
Co: 0.3668 0.1332 0.5000  6 Zr 2.61-2.66, 1 Co 2.73
Co: 0.6332 0.8668 0.5000  6 Zr 2.61-2.66, 1 Co 2.73
Co: 0.8668 0.3668 0.5000  6 Zr 2.61-2.66, 1 Co 2.73
Ir: 0.0000 0.0000 0.0000  4 Zr 2.71
Ir: 0.5000 0.5000 0.0000  4 Zr 2.71

Values from the calculation:
Its crystal system is tetragonal.

***

Result of the stability comparison: model D is the least stable of them.